# Cd4Ag, PBEsol geometry, DFT meta-GGA SCAN
# Total magnetization   0.001 Bohr magnetons per cell
# Density   9.5 g/cm³
# Excess energy over the best structure of this formula in the dataset   2 meV/atom
data_Cd4Ag
_chemical_formula_sum 'Cd8 Ag2'
_symmetry_space_group_name_H-M 'I 4/m'
_symmetry_Int_Tables_number 87
_symmetry_space_group_name_Hall '-I 4'
_cell_length_a 6.770
_cell_length_b 6.770
_cell_length_c 4.236
_cell_angle_alpha 90.00
_cell_angle_beta 90.00
_cell_angle_gamma 90.00
loop_
_atom_site_label
_atom_site_type_symbol
_atom_site_fract_x
_atom_site_fract_y
_atom_site_fract_z
Cd1 Cd 0.102 0.297 0.000
Ag1 Ag 0.000 0.000 0.500

---

# TaNi2Rh, PBEsol geometry, DFT meta-GGA SCAN
# Total magnetization   0.000 Bohr magnetons per cell
# Density   13.0 g/cm³
# Energy   -268.73 eV/cell
data_TaNi2Rh
_chemical_formula_sum 'Ta2 Ni4 Rh2'
_symmetry_space_group_name_H-M 'I -4 m 2'
_symmetry_Int_Tables_number 119
_symmetry_space_group_name_Hall 'I -4 -2'
_cell_length_a 3.696
_cell_length_b 3.696
_cell_length_c 7.502
_cell_angle_alpha 90.00
_cell_angle_beta 90.00
_cell_angle_gamma 90.00
loop_
_atom_site_label
_atom_site_type_symbol
_atom_site_fract_x
_atom_site_fract_y
_atom_site_fract_z
Ta1 Ta 0.000 0.000 0.000
Ni1 Ni 0.000 0.000 0.500
Ni2 Ni 0.000 0.500 0.750
Rh1 Rh 0.000 0.500 0.250

---

# LaBeAg2Pd, PBEsol geometry, DFT meta-GGA SCAN
# Total magnetization   0.000 Bohr magnetons per cell
# Density   5.2 g/cm³
# Energy   -135.89 eV/cell
data_LaBeAg2Pd
_chemical_formula_sum 'La1 Be1 Ag2 Pd1'
_symmetry_space_group_name_H-M 'P 4/m m m'
_symmetry_Int_Tables_number 123
_symmetry_space_group_name_Hall '-P 4 2'
_cell_length_a 5.473
_cell_length_b 5.473
_cell_length_c 5.004
_cell_angle_alpha 90.00
_cell_angle_beta 90.00
_cell_angle_gamma 90.00
loop_
_atom_site_label
_atom_site_type_symbol
_atom_site_fract_x
_atom_site_fract_y
_atom_site_fract_z
La1 La 0.000 0.000 0.000
Be1 Be 0.500 0.500 0.500
Ag1 Ag 0.000 0.500 0.000
Pd1 Pd 0.000 0.000 0.500

---

# Ba6Na2Nb2V2O17, PBEsol geometry, DFT meta-GGA SCAN
# Total magnetization   0.000 Bohr magnetons per cell
# Density   5.4 g/cm³
# Excess energy over the best structure of this formula in the dataset   0 meV/atom
# Raw formation energy   -2993 meV/atom
data_Ba6Na2Nb2V2O17
_chemical_formula_sum 'Ba12 Na4 Nb4 V4 O34'
_symmetry_space_group_name_H-M 'C 1 2 1'
_symmetry_Int_Tables_number 5
_cell_length_a 10.208
_cell_length_b 5.863
_cell_length_c 14.775
_cell_angle_alpha 90.00
_cell_angle_beta 90.11
_cell_angle_gamma 90.00
loop_
_symmetry_equiv_pos_as_xyz
'x,y,z'
'-x,y,-z'
'x+1/2,y+1/2,z'
'-x+1/2,y+1/2,-z'
loop_
_atom_site_label
_atom_site_type_symbol
_atom_site_fract_x
_atom_site_fract_y
_atom_site_fract_z
Ba1 Ba 0.000 0.000 0.000
Ba2 Ba 0.000 0.056 0.500
Ba3 Ba 0.165 0.499 0.847
Ba4 Ba 0.169 0.507 0.315
Na1 Na 0.001 0.003 0.250
Nb1 Nb 0.167 0.499 0.086
V1 V 0.165 0.515 0.604
O1 O 0.000 0.486 0.000
O2 O 0.074 0.715 0.161
O3 O 0.082 0.300 0.659
O4 O 0.093 0.770 0.633
O5 O 0.104 0.244 0.155
O6 O 0.161 0.458 0.492
O7 O 0.177 0.016 0.355
O8 O 0.177 0.024 0.841
O9 O 0.240 0.764 0.002

---

# ZrBeW, PBEsol geometry, DFT meta-GGA SCAN
# Total magnetization   0.000 Bohr magnetons per cell
# Density   10.4 g/cm³
# Excess energy over the best structure of this formula in the dataset   0 meV/atom
data_ZrBeW
_chemical_formula_sum 'Zr2 Be2 W2'
_symmetry_space_group_name_H-M 'I 4 m m'
_symmetry_Int_Tables_number 107
_symmetry_space_group_name_Hall 'I 4 -2'
_cell_length_a 2.748
_cell_length_b 2.748
_cell_length_c 11.970
_cell_angle_alpha 90.00
_cell_angle_beta 90.00
_cell_angle_gamma 90.00
loop_
_atom_site_label
_atom_site_type_symbol
_atom_site_fract_x
_atom_site_fract_y
_atom_site_fract_z
Zr1 Zr 0.000 0.000 0.000
Be1 Be 0.000 0.000 0.659
W1 W 0.000 0.000 0.294

---

# Ca2Ga2Pb, PBEsol geometry, DFT meta-GGA SCAN
# Total magnetization   0.000 Bohr magnetons per cell
# Density   5.7 g/cm³
# Energy   -260.90 eV/cell
data_Ca2Ga2Pb
_chemical_formula_sum 'Ca4 Ga4 Pb2'
_symmetry_space_group_name_H-M 'P 4/m b m'
_symmetry_Int_Tables_number 127
_symmetry_space_group_name_Hall '-P 4 2ab'
_cell_length_a 7.356
_cell_length_b 7.356
_cell_length_c 4.600
_cell_angle_alpha 90.00
_cell_angle_beta 90.00
_cell_angle_gamma 90.00
loop_
_atom_site_label
_atom_site_type_symbol
_atom_site_fract_x
_atom_site_fract_y
_atom_site_fract_z
Ca1 Ca 0.175 0.325 0.000
Ga1 Ga 0.121 0.621 0.500
Pb1 Pb 0.000 0.000 0.500

---

Please write out number 2 again, unchanged.
# TaNi2Rh, PBEsol geometry, DFT meta-GGA SCAN
# Total magnetization   0.000 Bohr magnetons per cell
# Density   13.0 g/cm³
# Energy   -268.73 eV/cell
data_TaNi2Rh
_chemical_formula_sum 'Ta2 Ni4 Rh2'
_symmetry_space_group_name_H-M 'I -4 m 2'
_symmetry_Int_Tables_number 119
_symmetry_space_group_name_Hall 'I -4 -2'
_cell_length_a 3.696
_cell_length_b 3.696
_cell_length_c 7.502
_cell_angle_alpha 90.00
_cell_angle_beta 90.00
_cell_angle_gamma 90.00
loop_
_atom_site_label
_atom_site_type_symbol
_atom_site_fract_x
_atom_site_fract_y
_atom_site_fract_z
Ta1 Ta 0.000 0.000 0.000
Ni1 Ni 0.000 0.000 0.500
Ni2 Ni 0.000 0.500 0.750
Rh1 Rh 0.000 0.500 0.250